[1]
DFT (PBE-GGA) results for a relaxed structure of SnHg2Br.

N(E_F): 1.09 states/eV per cell
distance to the lowest polymorph of the same formula: 0.000 eV per atom
total magnetization: 0.00 μB per atom

abc: 4.1097 4.1097 8.4020
angles: 75.84 75.84 60.00
Closest atoms and distances in Å follow each position.
Fractional positions:
Sn 0.6677 0.6677 0.9968  6 Hg 3.04-3.05
Hg 0.0795 0.0795 0.7614  3 Sn 3.04, 3 Br 3.14
Hg 0.2549 0.2549 0.2353  3 Sn 3.05, 3 Br 3.23
Br 0.4978 0.4978 0.5065  6 Hg 3.14-3.23

=====

[2]
DFT (PBE-GGA) results for a relaxed structure of SrSn2HgBr8.

N(E_F): 0.00 states/eV per cell
total magnetization: 0.00 μB per atom
E_tot: -2.94 eV per atom

abc: 7.3157 6.9321 8.9202
angles: 92.25 87.06 90.07
Closest atoms and distances in Å follow each position.
Fractional positions:
Sr 0.0000 0.0000 0.5000  6 Br 3.06-3.14
Sn 0.5213 0.4954 0.7582  4 Br 2.81-3.07
Sn 0.4787 0.5046 0.2418  4 Br 2.81-3.07
Hg 0.0000 0.0000 0.0000  2 Br 2.57
Br 0.1556 0.7242 0.2474  1 Sn 2.81, 1 Sr 3.07
Br 0.6498 0.7434 0.9885  2 Sn 2.82-3.07, 1 Hg 3.12
Br 0.8502 0.2002 0.2214  1 Hg 2.57
Br 0.8444 0.2758 0.7526  1 Sn 2.81, 1 Sr 3.07
Br 0.3502 0.2566 0.0115  2 Sn 2.82-3.07, 1 Hg 3.12
Br 0.1498 0.7998 0.7786  1 Hg 2.57
Br 0.6595 0.7428 0.5176  2 Sn 2.94-3.25, 1 Sr 3.06
Br 0.3405 0.2572 0.4824  2 Sn 2.94-3.25, 1 Sr 3.06

=====

Q: What is the total magnetization in the first record?
A: 0.00 μB per atom